DFT (meta-GGA SCAN) results for a crystal of ScBe2Cu relaxed with PBEsol.

The structure belongs to space group P4/mmm (No. 123); the cell edges are 3.6534, 3.6534 and 3.9072 Å and the angles 90.00°, 90.00° and 90.00°. The distinct sites, in fractional coordinates, are Sc at (0.0000, 0.0000, 0.0000), Be at (0.0000, 0.5000, 0.5000) and Cu at (0.5000, 0.5000, 0.0000).

For the formation energy from the elements, the calculation gives 15 kJ/mol of atoms. The excess energy over the best structure of this formula in the dataset is 0.0 meV/atom. For the total magnetization, the calculation gives 0.00 μB per cell. The density is 4.03 g/cm³. The calculation puts the volume at 13.04 Å³ per atom. As for the final energy: -9.38 eV per atom.

DFT (meta-GGA SCAN) results for a crystal of ScBe2Cu relaxed with PBEsol.

The structure belongs to space group I4_1/amd (No. 141, origin choice 2); the cell edges are 3.9304, 3.9304 and 15.1676 Å and the angles 90.00°, 90.00° and 90.00°. The distinct sites, in fractional coordinates, are Sc at (0.0000, 0.2500, 0.3750), Be at (0.0000, 0.0000, 0.0000) and Cu at (0.0000, 0.2500, 0.8750).

For the formation energy from the elements, the calculation gives 16 kJ/mol of atoms. The excess energy over the best structure of this formula in the dataset is 6.8 meV/atom. For the total magnetization, the calculation gives 0.00 μB per cell. The density is 3.59 g/cm³. The calculation puts the volume at 14.64 Å³ per atom. As for the final energy: -9.37 eV per atom.

DFT (meta-GGA SCAN) results for a crystal of ScBeCu relaxed with PBEsol.

The structure belongs to space group F-43m (No. 216); the cell edges are 5.9312, 5.9312 and 5.9312 Å and the angles 90.00°, 90.00° and 90.00°. The distinct sites, in fractional coordinates, are Sc at (0.0000, 0.0000, 0.0000), Be at (0.2500, 0.2500, 0.7500) and Cu at (0.2500, 0.2500, 0.2500).

For the formation energy from the elements, the calculation gives 68 kJ/mol of atoms. For the total magnetization, the calculation gives 0.00 μB per cell. The density is 3.74 g/cm³. The calculation puts the volume at 17.39 Å³ per atom. As for the final energy: -10.56 eV per atom.

DFT (meta-GGA SCAN) results for a crystal of ScBeCuTc2 relaxed with PBEsol.

The structure belongs to space group P4/mmm (No. 123); the cell edges are 4.5381, 4.5381 and 3.7881 Å and the angles 90.00°, 90.00° and 90.00°. The distinct sites, in fractional coordinates, are Sc at (0.0000, 0.0000, 0.0000), Be at (0.5000, 0.5000, 0.0000), Cu at (0.5000, 0.5000, 0.5000) and Tc at (0.0000, 0.5000, 0.5000).

For the formation energy from the elements, the calculation gives 75 kJ/mol of atoms. For the total magnetization, the calculation gives 0.00 μB per cell. The density is 6.67 g/cm³. The calculation puts the volume at 15.60 Å³ per atom. As for the final energy: -20.00 eV per atom.